First-principles (PBE) data for an optimized crystal structure of NaMnBr, as listed in Alexandria. Values from VASP.

Properties
* ΔE_f (raw): -83 meV/atom
* relative energy among the computed polymorphs: 0.289 eV per atom
* space group: Ima2, No. 46
* total moment: 0.63 μB/f.u.
* E_tot: -49.64 eV per cell

```
&SYSTEM
  ibrav = 0, nat = 12, ntyp = 3
/
ATOMIC_SPECIES
Mn 54.94 Mn.upf
Na 22.99 Na.upf
Br 79.90 Br.upf
CELL_PARAMETERS angstrom
3.4005 0.0000 0.0000
0.0000 12.0791 0.0000
0.0000 0.0000 6.7835
ATOMIC_POSITIONS crystal
Mn 0.7500 0.5501 0.0088
Na 0.2500 0.8610 0.1500
Na 0.7500 0.1390 0.1500
Br 0.7500 0.8300 0.7949
Mn 0.7500 0.9499 0.5088
Na 0.7500 0.3610 0.6500
Mn 0.2500 0.4499 0.0088
Na 0.2500 0.6390 0.6500
Br 0.2500 0.1700 0.7949
Br 0.7500 0.6700 0.2949
Mn 0.2500 0.0501 0.5088
Br 0.2500 0.3300 0.2949
```